Entry from Alexandria: Zr2CrWBr after structural relaxation (PBE).

Values from the calculation:
raw total energy: -6.78 eV/atom
raw formation energy: 34.27 kcal/mol of atoms
magnetization: 0.5 μB per cell

Geometry as POSCAR:
```
Zr2CrWBr
1.0
4.910 0.000 0.000
0.000 4.568 0.000
0.000 0.000 4.910
Zr W Br Cr
2 1 1 1
Direct
0.500 0.000 0.000 Zr
0.000 0.000 0.500 Zr
0.000 0.500 0.000 W
0.000 0.000 0.000 Br
0.500 0.500 0.500 Cr
```

---

Entry from Alexandria: Y4CrBr after structural relaxation (PBE).

Values from the calculation:
raw total energy: -5.57 eV/atom
raw formation energy: 14.39 kcal/mol of atoms
magnetization: 5.1 μB per cell

Geometry as POSCAR:
```
Y4CrBr
1.0
-0.703 3.665 5.291
-4.294 -1.672 4.549
2.050 -2.178 5.743
Br Y Cr
1 4 1
Direct
0.750 0.750 0.750 Br
0.880 0.373 0.373 Y
0.373 0.373 0.373 Y
0.373 0.373 0.880 Y
0.373 0.880 0.373 Y
0.000 0.000 0.000 Cr
```

---

Entry from Alexandria: YCrBr3 after structural relaxation (PBE).

Values from the calculation:
raw total energy: -4.88 eV/atom
energy above the most stable polymorph in this dataset: 0.000 eV/f.u.
raw formation energy: -15.11 kcal/mol of atoms
magnetization: 5.9 μB per cell

Geometry as POSCAR:
```
YCrBr3
1.0
5.600 0.000 0.000
0.000 5.600 0.000
0.000 0.000 5.600
Cr Br Y
1 3 1
Direct
0.500 0.500 0.500 Cr
0.500 0.000 0.000 Br
0.000 0.500 0.000 Br
0.000 0.000 0.500 Br
0.000 0.000 0.000 Y
```

---

Entry from Alexandria: YCr2Br2 after structural relaxation (PBE).

Values from the calculation:
raw total energy: -5.50 eV/atom
energy above the most stable polymorph in this dataset: 0.691 eV/f.u.
raw formation energy: 7.29 kcal/mol of atoms
magnetization: 0.0 μB per cell

Geometry as POSCAR:
```
YCr2Br2
1.0
7.021 0.000 0.000
0.000 7.021 0.000
0.000 0.000 4.575
Y Cr Br
2 4 4
Direct
0.500 0.500 0.000 Y
0.000 0.000 0.000 Y
0.092 0.408 0.000 Cr
0.592 0.092 0.000 Cr
0.908 0.592 0.000 Cr
0.408 0.908 0.000 Cr
0.818 0.682 0.500 Br
0.182 0.318 0.500 Br
0.682 0.182 0.500 Br
0.318 0.818 0.500 Br
```

---

Entry from Alexandria: YCr2Br2 after structural relaxation (PBE).

Values from the calculation:
raw total energy: -5.63 eV/atom
energy above the most stable polymorph in this dataset: 0.000 eV/f.u.
raw formation energy: 4.10 kcal/mol of atoms
magnetization: 0.7 μB per cell

Geometry as POSCAR:
```
YCr2Br2
1.0
4.564 0.000 0.000
0.000 4.564 0.000
2.282 2.282 5.076
Br Cr Y
2 2 1
Direct
0.750 0.250 0.500 Br
0.250 0.750 0.500 Br
0.410 0.410 0.180 Cr
0.590 0.590 0.820 Cr
0.000 0.000 0.000 Y
```

---

Entry from Alexandria: YCrBr6 after structural relaxation (PBE).

Values from the calculation:
raw total energy: -4.50 eV/atom
raw formation energy: -28.40 kcal/mol of atoms
magnetization: 3.0 μB per cell

Geometry as POSCAR:
```
YCrBr6
1.0
6.595 0.191 0.000
1.801 6.350 0.000
0.901 3.175 6.693
Y Br Cr
1 6 1
Direct
0.000 0.000 0.000 Y
0.737 0.739 0.000 Br
0.274 0.862 0.726 Br
0.726 0.412 0.726 Br
0.274 0.588 0.274 Br
0.726 0.138 0.274 Br
0.263 0.261 0.000 Br
0.500 0.500 0.000 Cr
```

---

> What is the magnetization in the sixth record?

3.0 μB per cell